[1]
Entry from Alexandria via LeMat-Bulk: CeNdPdPt after structural relaxation (PBE-GGA).

The excess energy over the best structure of this formula in the dataset comes out at 0.0000 eV/atom. The value obtained for the formation enthalpy at 0 K is -3.71 eV per formula unit. The value obtained for the spin magnetization is 1.6 μB per cell. For the volume, the calculation gives 192.88 Å³ per cell.

Unit cell a=4.614 b=3.860 c=10.829 alpha=90.00 beta=90.00 gamma=90.00
Space group Amm2 (No. 38)
Symmetry-distinct sites (fractional):
Ce (0.000, 0.000, 0.000) [2 per cell]
Nd (0.500, 0.000, 0.273) [2 per cell]
Pd (0.500, 0.000, 0.545) [2 per cell]
Pt (0.000, 0.000, 0.723) [2 per cell]


[2]
Entry from Alexandria via LeMat-Bulk: Ag5C after structural relaxation (PBE-GGA).

The excess energy over the best structure of this formula in the dataset comes out at 0.1499 eV/atom. The value obtained for the formation enthalpy at 0 K is 5.29 eV per formula unit. The value obtained for the spin magnetization is 0.0 μB per cell. For the volume, the calculation gives 209.46 Å³ per cell.

Unit cell a=2.941 b=15.261 c=4.668 alpha=90.00 beta=90.00 gamma=90.00
Space group Cmmm (No. 65)
Symmetry-distinct sites (fractional):
Ag (0.000, 0.000, 0.000) [2 per cell]
Ag (0.000, 0.117, 0.500) [4 per cell]
Ag (0.000, 0.328, 0.000) [4 per cell]
C (0.000, 0.500, 0.500) [2 per cell]


The lowest excess energy over the best structure of this formula in the dataset belongs to which entry?
CeNdPdPt


What is the spin magnetization in the second record?
0.0 μB per cell


Among the records above, which one has the highest spin magnetization?
CeNdPdPt


Number 2 is which compound?
Ag5C